Version one
KCu3W | PBE | optimized geometry

**Spin magnetization**: 2.96 μB/f.u.
**Fermi-level density of states**: 0.650 states/eV per atom
**Crystal system**: cubic

Geometry as CIF:
```
data_KCu3W
_chemical_formula_sum 'K1 Cu3 W1'
_cell_length_a 4.663
_cell_length_b 4.663
_cell_length_c 4.663
_cell_angle_alpha 90.00
_cell_angle_beta 90.00
_cell_angle_gamma 90.00
_space_group_name_H-M_alt 'P m -3 m'
_space_group_IT_number 221
_space_group_name_Hall '-P 4 2 3'
loop_
_atom_site_label
_atom_site_type_symbol
_atom_site_fract_x
_atom_site_fract_y
_atom_site_fract_z
K1 K 0.000 0.000 0.000
Cu1 Cu 0.000 0.000 0.500
W1 W 0.500 0.500 0.500
```

Version two
KCu3W | PBE | optimized geometry

**Spin magnetization**: 0.00 μB/f.u.
**Fermi-level density of states**: 0.878 states/eV per atom
**Crystal system**: cubic

Geometry as CIF:
```
data_KCu3W
_chemical_formula_sum 'K1 Cu3 W1'
_cell_length_a 4.881
_cell_length_b 4.881
_cell_length_c 4.881
_cell_angle_alpha 90.00
_cell_angle_beta 90.00
_cell_angle_gamma 90.00
_space_group_name_H-M_alt 'P m -3 m'
_space_group_IT_number 221
_space_group_name_Hall '-P 4 2 3'
loop_
_atom_site_label
_atom_site_type_symbol
_atom_site_fract_x
_atom_site_fract_y
_atom_site_fract_z
K1 K 0.000 0.000 0.000
Cu1 Cu 0.000 0.500 0.500
W1 W 0.500 0.500 0.500
```

Preferred: version two; penalty for the next structure: 1.221 eV/atom.